Record 1
Computed, not measured: a geometry-optimized Ba2YTl2 structure at the PBE level of DFT.

Unit cell a=9.227 b=9.227 c=4.657 alpha=90.00 beta=90.00 gamma=90.00
Positions (direct):
Ba  0.340  0.160  0.500
Ba  0.660  0.840  0.500
Ba  0.160  0.660  0.500
Ba  0.840  0.340  0.500
Y  0.000  0.000  0.000
Y  0.500  0.500  0.000
Tl  0.859  0.641  0.000
Tl  0.641  0.141  0.000
Tl  0.141  0.359  0.000
Tl  0.359  0.859  0.000

## Properties
The value obtained for the energy of formation is -0.1630 eV per atom. The energy above the most stable polymorph in this dataset comes out at 0 meV/atom. The total magnetic moment is 0.0 Bohr magnetons per cell. The space-group type is P4/mbm.

=====

Record 2
Computed, not measured: a geometry-optimized Ga2NiAg2 structure at the PBE level of DFT.

Unit cell a=6.235 b=6.235 c=4.299 alpha=90.00 beta=90.00 gamma=90.00
Positions (direct):
Ga  0.650  0.150  0.000
Ga  0.150  0.350  0.000
Ga  0.350  0.850  0.000
Ga  0.850  0.650  0.000
Ag  0.167  0.667  0.500
Ag  0.333  0.167  0.500
Ag  0.833  0.333  0.500
Ag  0.667  0.833  0.500
Ni  0.000  0.000  0.000
Ni  0.500  0.500  0.000

## Properties
The value obtained for the energy of formation is 0.0547 eV per atom. The energy above the most stable polymorph in this dataset comes out at 0 meV/atom. The total magnetic moment is 0.0 Bohr magnetons per cell. The space-group type is P4/mbm.

=====

Record 3
Computed, not measured: a geometry-optimized FeSi3Br structure at the PBE level of DFT.

Unit cell a=4.426 b=4.426 c=4.426 alpha=90.00 beta=90.00 gamma=90.00
Positions (direct):
Fe  0.000  0.000  0.000
Si  0.500  0.000  0.000
Si  0.000  0.000  0.500
Si  0.000  0.500  0.000
Br  0.500  0.500  0.500

## Properties
The energy above the most stable polymorph in this dataset comes out at 0 meV/atom. The total magnetic moment is 0.0 Bohr magnetons per cell. The space-group type is Pm-3m.

=====

Record 4
Computed, not measured: a geometry-optimized K2CuNi structure at the PBE level of DFT.

Unit cell a=7.208 b=5.231 c=4.188 alpha=90.16 beta=54.19 gamma=117.05
Positions (direct):
K  0.500  0.000  0.500
K  0.000  0.000  0.000
Cu  0.500  0.500  0.000
Ni  0.000  0.500  0.500

## Properties
The value obtained for the energy of formation is 0.7618 eV per atom. The energy above the most stable polymorph in this dataset comes out at 386 meV/atom. The total magnetic moment is 0.2 Bohr magnetons per cell. The space-group type is C2/m.

=====

What is the total magnetic moment in the third record?
0.0 Bohr magnetons per cell